No. 1
A geometry-optimized CoPRh2S structure. Source: Alexandria via LeMat-Bulk, functional PBE-GGA.

Structure (CIF):
```
data_CoPRh2S
_chemical_formula_sum 'Co1 P1 Rh2 S1'
_space_group_name_H-M_alt 'P 4/m m m'
_space_group_IT_number 123
_space_group_name_Hall '-P 4 2'
_cell_length_a 4.638
_cell_length_b 4.638
_cell_length_c 3.981
_cell_angle_alpha 90.00
_cell_angle_beta 90.00
_cell_angle_gamma 90.00
loop_
_atom_site_label
_atom_site_type_symbol
_atom_site_fract_x
_atom_site_fract_y
_atom_site_fract_z
Co1 Co 0.000 0.000 0.000
P1 P 0.000 0.000 0.500
Rh1 Rh 0.000 0.500 0.000
S1 S 0.500 0.500 0.500
```

Results
E: -26.9 eV per cell
Density: 6.356 g/cm3
Energy relative to the elements, uncorrected: 0.89 eV/atom
M_tot: 2.8 μB/cell
Density of states at the Fermi level: 1.4523 states/eV per atom

No. 2
A geometry-optimized Ba2SrBr2 structure. Source: Alexandria via LeMat-Bulk, functional PBE-GGA.

Structure (CIF):
```
data_Ba2SrBr2
_chemical_formula_sum 'Ba4 Sr2 Br4'
_space_group_name_H-M_alt 'I 4/m m m'
_space_group_IT_number 139
_space_group_name_Hall '-I 4 2'
_cell_length_a 5.544
_cell_length_b 5.544
_cell_length_c 16.758
_cell_angle_alpha 90.00
_cell_angle_beta 90.00
_cell_angle_gamma 90.00
loop_
_atom_site_label
_atom_site_type_symbol
_atom_site_fract_x
_atom_site_fract_y
_atom_site_fract_z
Ba1 Ba 0.000 0.000 0.140
Sr1 Sr 0.000 0.000 0.500
Br1 Br 0.000 0.500 0.250
```

Results
E: -29.2 eV per cell
Energy above the lowest structure with this stoichiometry: 0 meV per atom
Density: 3.366 g/cm3
Energy relative to the elements, uncorrected: -1.15 eV/atom
M_tot: 0.0 μB/cell
Density of states at the Fermi level: 0.8581 states/eV per atom

No. 3
A geometry-optimized Pm3SnB2Pt8 structure. Source: Alexandria via LeMat-Bulk, functional PBE-GGA.

Structure (CIF):
```
data_Pm3SnB2Pt8
_chemical_formula_sum 'Pm3 Sn1 B2 Pt8'
_space_group_name_H-M_alt 'P -3 m 1'
_space_group_IT_number 164
_space_group_name_Hall '-P 3 2"'
_cell_length_a 5.4922
_cell_length_b 5.4922
_cell_length_c 9.9793
_cell_angle_alpha 90.00
_cell_angle_beta 90.00
_cell_angle_gamma 120.00
loop_
_atom_site_label
_atom_site_type_symbol
_atom_site_fract_x
_atom_site_fract_y
_atom_site_fract_z
Pm1 Pm 0.0000 0.0000 0.0000
Pm2 Pm 0.3333 0.6667 0.6008
Sn1 Sn 0.0000 0.0000 0.5000
B1 B 0.3333 0.6667 0.1203
Pt1 Pt 0.1679 0.3359 0.2637
Pt2 Pt 0.3333 0.6667 0.9196
```

Results
E: -90.0 eV per cell
Density: 13.606 g/cm3
Formation energy: -722 meV/atom
M_tot: 0.0 μB/cell
Density of states at the Fermi level: 0.4280 states/eV per atom

No. 4
A geometry-optimized ZnPb3F structure. Source: Alexandria via LeMat-Bulk, functional PBE-GGA.

Structure (CIF):
```
data_ZnPb3F
_chemical_formula_sum 'Zn1 Pb3 F1'
_space_group_name_H-M_alt 'P m -3 m'
_space_group_IT_number 221
_space_group_name_Hall '-P 4 2 3'
_cell_length_a 5.117
_cell_length_b 5.117
_cell_length_c 5.117
_cell_angle_alpha 90.00
_cell_angle_beta 90.00
_cell_angle_gamma 90.00
loop_
_atom_site_label
_atom_site_type_symbol
_atom_site_fract_x
_atom_site_fract_y
_atom_site_fract_z
Zn1 Zn 0.000 0.000 0.000
Pb1 Pb 0.000 0.500 0.500
F1 F 0.500 0.500 0.500
```

Results
E: -15.8 eV per cell
Energy above the lowest structure with this stoichiometry: 0 meV per atom
Density: 8.751 g/cm3
Energy relative to the elements, uncorrected: -0.30 eV/atom
M_tot: 0.0 μB/cell
Density of states at the Fermi level: 0.5214 states/eV per atom

No. 5
A geometry-optimized Cu3BiRu structure. Source: Alexandria via LeMat-Bulk, functional PBE-GGA.

Structure (CIF):
```
data_Cu3BiRu
_chemical_formula_sum 'Cu3 Bi1 Ru1'
_space_group_name_H-M_alt 'P m -3 m'
_space_group_IT_number 221
_space_group_name_Hall '-P 4 2 3'
_cell_length_a 4.643
_cell_length_b 4.643
_cell_length_c 4.643
_cell_angle_alpha 90.00
_cell_angle_beta 90.00
_cell_angle_gamma 90.00
loop_
_atom_site_label
_atom_site_type_symbol
_atom_site_fract_x
_atom_site_fract_y
_atom_site_fract_z
Cu1 Cu 0.000 0.000 0.500
Bi1 Bi 0.500 0.500 0.500
Ru1 Ru 0.000 0.000 0.000
```

Results
E: -20.5 eV per cell
Energy above the lowest structure with this stoichiometry: 0 meV per atom
Density: 8.304 g/cm3
Formation energy: 994 meV/atom
M_tot: 0.0 μB/cell
Density of states at the Fermi level: 0.7546 states/eV per atom

No. 6
A geometry-optimized KGaSi structure. Source: Alexandria via LeMat-Bulk, functional PBE-GGA.

Structure (CIF):
```
data_KGaSi
_chemical_formula_sum 'K4 Ga4 Si4'
_space_group_name_H-M_alt 'C m c m'
_space_group_IT_number 63
_space_group_name_Hall '-C 2c 2'
_cell_length_a 4.621
_cell_length_b 12.438
_cell_length_c 5.390
_cell_angle_alpha 90.00
_cell_angle_beta 90.00
_cell_angle_gamma 90.00
loop_
_atom_site_label
_atom_site_type_symbol
_atom_site_fract_x
_atom_site_fract_y
_atom_site_fract_z
K1 K 0.000 0.221 0.250
Ga1 Ga 0.000 0.500 0.000
Si1 Si 0.000 0.046 0.750
```

Results
E: -36.2 eV per cell
Density: 2.935 g/cm3
Energy relative to the elements, uncorrected: 0.17 eV/atom
M_tot: 0.0 μB/cell
Density of states at the Fermi level: 0.4290 states/eV per atom